{"formula": "YTa2Cd", "functional": "PBE", "state": "relaxed", "spacegroup": "C2/m", "formation_enthalpy_0k_ev_per_atom": 0.335, "lattice_angstrom": [[5.464, -1.545, 0.000], [5.464, 1.545, 0.000], [-1.268, 0.000, 5.049]], "species": ["Y", "Ta", "Ta", "Cd"], "fractional_positions": [[0.000, 0.000, 0.000], [0.237, 0.237, 0.736], [0.763, 0.763, 0.264], [0.500, 0.500, 0.500]]}